Compound: SrCoSn6
Source: Alexandria via LeMat-Bulk
Functional: PBE
Structure: optimized geometry

For the total DFT energy (no corrections), the calculation gives -4.221 eV/atom. The volume is 26.47 Å³/atom. As for the symmetry: No. 38. The formation energy is -0.120 eV per atom. The density of states at the Fermi level is 4.5 states/eV per cell.

Cell lengths 4.255, 7.149, 7.149 Å; angles 103.18, 90.00, 90.00 degrees
Element x y z (fractional)
Sn 0.000 0.448 0.213
Sn 0.500 0.595 0.897
Sn 0.000 0.787 0.552
Sn 0.500 0.103 0.405
Sn 0.000 0.360 0.640
Sn 0.000 0.875 0.125
Co 0.500 0.728 0.272
Sr 0.500 0.103 0.897